Compound: NbReRu2
Source: Alexandria
Functional: PBE-GGA
Structure: relaxed

a b c (Å): 3.949 3.949 3.893
angles (deg): 90.00 90.00 90.00
Fractional coordinates of all 4 atoms:
Nb  0.000  0.000  0.000
Re  0.500  0.500  0.000
Ru  0.000  0.500  0.500
Ru  0.500  0.000  0.500

Output
- M_tot: 0.000 μB/atom
- Relative energy among the computed polymorphs: 0.00 eV/f.u.
- ΔH_f (0 K): -0.06 eV/atom
- Calculated density: 13.2 g cm⁻³

=====

Compound: Ba2ZnH6O6
Source: Alexandria
Functional: PBE-GGA
Structure: relaxed

a b c (Å): 6.509 5.843 10.945
angles (deg): 90.00 113.50 90.00
Fractional coordinates of all 30 atoms:
Ba  0.242  0.005  0.292
Ba  0.242  0.495  0.792
Ba  0.758  0.505  0.208
Ba  0.758  0.995  0.708
Zn  0.500  0.000  0.000
Zn  0.500  0.500  0.500
H  0.030  0.738  0.009
H  0.030  0.762  0.509
H  0.123  0.701  0.497
H  0.123  0.799  0.997
H  0.356  0.193  0.610
H  0.356  0.307  0.110
H  0.644  0.693  0.890
H  0.644  0.807  0.390
H  0.877  0.201  0.003
H  0.877  0.299  0.503
H  0.970  0.238  0.491
H  0.970  0.262  0.991
O  0.199  0.517  0.285
O  0.199  0.983  0.785
O  0.374  0.211  0.525
O  0.374  0.289  0.025
O  0.413  0.087  0.786
O  0.413  0.413  0.286
O  0.587  0.587  0.714
O  0.587  0.913  0.214
O  0.626  0.711  0.975
O  0.626  0.789  0.475
O  0.801  0.017  0.215
O  0.801  0.483  0.715

Output
- M_tot: 0.000 μB/atom
- Relative energy among the computed polymorphs: 0.30 eV/f.u.
- Calculated density: 3.8 g cm⁻³

=====

Compound: AgHg4H4
Source: Alexandria
Functional: PBE-GGA
Structure: relaxed

a b c (Å): 6.017 6.017 6.017
angles (deg): 103.95 103.95 121.20
Fractional coordinates of all 9 atoms:
Ag  0.000  0.000  0.000
Hg  0.224  0.572  0.796
Hg  0.428  0.224  0.652
Hg  0.572  0.776  0.348
Hg  0.776  0.428  0.204
H  0.052  0.772  0.824
H  0.228  0.052  0.281
H  0.772  0.948  0.719
H  0.948  0.228  0.176

Output
- DFT total energy: -1.5556 eV per atom
- M_tot: 0.000 μB/atom
- Calculated density: 9.4 g cm⁻³

=====

Compound: Dy2ThTl3Te6
Source: Alexandria
Functional: PBE-GGA
Structure: relaxed

a b c (Å): 7.660 7.660 8.707
angles (deg): 98.43 98.43 119.99
Fractional coordinates of all 12 atoms:
Dy  0.167  0.833  0.000
Dy  0.833  0.167  0.000
Th  0.500  0.500  0.000
Tl  0.000  0.000  0.500
Tl  0.334  0.666  0.500
Tl  0.666  0.334  0.500
Te  0.090  0.427  0.782
Te  0.235  0.235  0.217
Te  0.427  0.090  0.782
Te  0.573  0.910  0.218
Te  0.765  0.765  0.783
Te  0.910  0.573  0.218

Output
- M_tot: 0.000 μB/atom
- Uncorrected formation energy: -0.97 eV per atom
- Calculated density: 7.6 g cm⁻³

=====

Compound: TbY5Sc2
Source: Alexandria
Functional: PBE-GGA
Structure: relaxed

a b c (Å): 8.293 7.133 6.592
angles (deg): 74.23 55.86 49.91
Fractional coordinates of all 8 atoms:
Tb  0.000  0.000  0.000
Y  0.004  0.504  0.996
Y  0.084  0.084  0.416
Y  0.500  0.500  0.500
Y  0.504  0.004  0.496
Y  0.584  0.584  0.916
Sc  0.086  0.587  0.413
Sc  0.587  0.086  0.914

Output
- M_tot: 0.000 μB/atom
- Relative energy among the computed polymorphs: 0.00 eV/f.u.
- ΔH_f (0 K): 0.03 eV/atom
- Calculated density: 4.7 g cm⁻³

=====

Compound: SrFe2Re
Source: Alexandria
Functional: PBE-GGA
Structure: relaxed

a b c (Å): 2.962 2.962 7.859
angles (deg): 90.00 90.00 90.00
Fractional coordinates of all 4 atoms:
Sr  0.000  0.000  0.000
Fe  0.000  0.000  0.491
Fe  0.500  0.500  0.324
Re  0.500  0.500  0.676

Output
- M_tot: 1.132 μB/atom
- Relative energy among the computed polymorphs: 0.82 eV/f.u.
- ΔH_f (0 K): 0.61 eV/atom
- Calculated density: 9.3 g cm⁻³

=====

Compound: MgScNi
Source: Alexandria
Functional: PBE-GGA
Structure: relaxed

a b c (Å): 3.388 3.835 8.876
angles (deg): 90.00 100.94 90.00
Fractional coordinates of all 6 atoms:
Mg  0.198  0.250  0.398
Mg  0.802  0.750  0.602
Sc  0.418  0.250  0.834
Sc  0.582  0.750  0.166
Ni  0.042  0.250  0.088
Ni  0.958  0.750  0.912

Output
- M_tot: 0.000 μB/atom
- ΔH_f (0 K): -0.34 eV/atom
- Calculated density: 3.8 g cm⁻³

=====

Compound: CaCoMo2
Source: Alexandria
Functional: PBE-GGA
Structure: relaxed

a b c (Å): 5.576 5.576 2.667
angles (deg): 97.51 97.51 123.12
Fractional coordinates of all 4 atoms:
Ca  0.000  0.000  0.000
Co  0.500  0.500  0.000
Mo  0.000  0.500  0.500
Mo  0.500  0.000  0.500

Output
- M_tot: 0.361 μB/atom
- Relative energy among the computed polymorphs: 1.00 eV/f.u.
- ΔH_f (0 K): 0.68 eV/atom
- Calculated density: 7.2 g cm⁻³

=====

Compound: ScTa2
Source: Alexandria
Functional: PBE-GGA
Structure: relaxed

a b c (Å): 4.744 4.744 2.996
angles (deg): 90.00 90.00 90.00
Fractional coordinates of all 3 atoms:
Sc  0.000  0.000  0.000
Ta  0.000  0.500  0.500
Ta  0.500  0.000  0.500

Output
- M_tot: 0.000 μB/atom
- Relative energy among the computed polymorphs: 3.48 eV/f.u.
- ΔH_f (0 K): 1.32 eV/atom
- Calculated density: 10.0 g cm⁻³

=====

Compound: CsU2TlI8
Source: Alexandria
Functional: PBE-GGA
Structure: relaxed

a b c (Å): 8.536 8.536 9.369
angles (deg): 90.00 90.00 120.00
Fractional coordinates of all 12 atoms:
Cs  0.000  0.000  0.000
U  0.333  0.667  0.414
U  0.667  0.333  0.586
Tl  0.000  0.000  0.500
I  0.060  0.388  0.658
I  0.328  0.940  0.658
I  0.333  0.667  0.088
I  0.388  0.328  0.342
I  0.612  0.672  0.658
I  0.667  0.333  0.912
I  0.672  0.060  0.342
I  0.940  0.612  0.342

Output
- M_tot: 0.500 μB/atom
- Uncorrected formation energy: -0.85 eV per atom
- Calculated density: 5.1 g cm⁻³

=====

Compound: LaZn2PdSe
Source: Alexandria
Functional: PBE-GGA
Structure: relaxed

a b c (Å): 4.761 4.761 5.610
angles (deg): 90.00 90.00 90.00
Fractional coordinates of all 5 atoms:
La  0.000  0.000  0.000
Zn  0.000  0.500  0.500
Zn  0.500  0.000  0.500
Pd  0.000  0.000  0.500
Se  0.500  0.500  0.000

Output
- M_tot: 0.000 μB/atom
- Uncorrected formation energy: -0.61 eV per atom
- Calculated density: 5.9 g cm⁻³

=====

Compound: LiPm6Ag
Source: Alexandria
Functional: PBE-GGA
Structure: relaxed

a b c (Å): 9.663 9.663 9.663
angles (deg): 148.67 148.67 44.89
Fractional coordinates of all 8 atoms:
Li  0.000  0.000  0.000
Pm  0.108  0.608  0.500
Pm  0.247  0.247  0.000
Pm  0.392  0.892  0.500
Pm  0.608  0.108  0.500
Pm  0.753  0.753  0.000
Pm  0.892  0.392  0.500
Ag  0.500  0.500  0.000

Output
- M_tot: 0.000 μB/atom
- ΔH_f (0 K): -0.03 eV/atom
- Calculated density: 6.7 g cm⁻³